VASP calculation (PBE with a Hubbard U) on a relaxed structure of CrClF.

Values from the calculation:
Energy relative to the lowest polymorph listed for this composition, meV per atom: 224
Total magnetic moment, μB per atom: 1.333

a b c (Å): 3.5327 3.5327 5.2867
angles (deg): 90.00 90.00 120.00
Space group P3m1 (No. 156)
Unique sites:
Cr  0.0000  0.0000  0.0000 (multiplicity 1)
Cl  0.6667  0.3333  0.7254 (multiplicity 1)
F  0.3333  0.6667  0.1567 (multiplicity 1)